Entry 1:
Pr6Tl2N | PBE | relaxed

```
data_Pr6Tl2N
_cell_length_a 3.6400
_cell_length_b 15.4237
_cell_length_c 9.4163
_cell_angle_alpha 90.00
_cell_angle_beta 90.00
_cell_angle_gamma 90.00
_symmetry_space_group_name_H-M 'A m m 2'
_symmetry_Int_Tables_number 38
_symmetry_space_group_name_Hall 'A 2 -2'
loop_
_atom_site_label
_atom_site_type_symbol
_atom_site_fract_x
_atom_site_fract_y
_atom_site_fract_z
Pr1 Pr 0.0000 0.0000 0.0000
Pr2 Pr 0.0000 0.1041 0.6672
Pr3 Pr 0.5000 0.0000 0.3602
Pr4 Pr 0.5000 0.2071 0.9556
Tl1 Tl 0.0000 0.1679 0.2465
N1 N 0.5000 0.0000 0.8288
```

energy above the lowest structure with this stoichiometry: 0.1909 eV/atom
E_form (uncorrected): -0.293 eV per atom

***

Entry 2:
Al5Ga4Ag | PBE | relaxed

```
data_Al5Ga4Ag
_cell_length_a 2.8638
_cell_length_b 2.8970
_cell_length_c 24.0900
_cell_angle_alpha 86.74
_cell_angle_beta 89.99
_cell_angle_gamma 60.39
_symmetry_space_group_name_H-M 'P -1'
_symmetry_Int_Tables_number 2
_symmetry_space_group_name_Hall '-P 1'
loop_
_atom_site_label
_atom_site_type_symbol
_atom_site_fract_x
_atom_site_fract_y
_atom_site_fract_z
Al1 Al 0.0000 0.0000 0.0000
Al2 Al 0.1917 0.6140 0.5964
Al3 Al 0.4378 0.1361 0.2026
Ga1 Ga 0.1285 0.7472 0.3043
Ga2 Ga 0.2775 0.4416 0.8988
Ag1 Ag 0.5000 0.0000 0.5000
```

ΔE_f: 0.015 eV/atom

***

Entry 3:
Hf2PaW | PBE | relaxed

```
data_Hf2PaW
_cell_length_a 3.2036
_cell_length_b 3.2036
_cell_length_c 29.1015
_cell_angle_alpha 90.00
_cell_angle_beta 90.00
_cell_angle_gamma 120.00
_symmetry_space_group_name_H-M 'R -3 m'
_symmetry_Int_Tables_number 166
_symmetry_space_group_name_Hall '-R 3 2"'
loop_
_atom_site_label
_atom_site_type_symbol
_atom_site_fract_x
_atom_site_fract_y
_atom_site_fract_z
Hf1 Hf 0.0000 0.0000 0.2392
Pa1 Pa 0.0000 0.0000 0.0000
W1 W 0.0000 0.0000 0.5000
```

energy above the lowest structure with this stoichiometry: 0.1533 eV/atom
ΔE_f: 0.308 eV/atom

***

Entry 4:
TeBr3Cl | PBE | relaxed

```
data_TeBr3Cl
_cell_length_a 5.4498
_cell_length_b 5.4498
_cell_length_c 5.4498
_cell_angle_alpha 90.00
_cell_angle_beta 90.00
_cell_angle_gamma 90.00
_symmetry_space_group_name_H-M 'P m -3 m'
_symmetry_Int_Tables_number 221
_symmetry_space_group_name_Hall '-P 4 2 3'
loop_
_atom_site_label
_atom_site_type_symbol
_atom_site_fract_x
_atom_site_fract_y
_atom_site_fract_z
Te1 Te 0.0000 0.0000 0.0000
Br1 Br 0.0000 0.5000 0.5000
Cl1 Cl 0.5000 0.5000 0.5000
```

energy above the lowest structure with this stoichiometry: 0.9417 eV/atom
E_form (uncorrected): 0.554 eV per atom

***

Entry 5:
Ba3Li8Cd | PBE | relaxed

```
data_Ba3Li8Cd
_cell_length_a 6.2842
_cell_length_b 6.2842
_cell_length_c 31.3624
_cell_angle_alpha 90.00
_cell_angle_beta 90.00
_cell_angle_gamma 120.00
_symmetry_space_group_name_H-M 'R 3 m'
_symmetry_Int_Tables_number 160
_symmetry_space_group_name_Hall 'R 3 -2"'
loop_
_atom_site_label
_atom_site_type_symbol
_atom_site_fract_x
_atom_site_fract_y
_atom_site_fract_z
Ba1 Ba 0.0000 0.0000 0.0000
Ba2 Ba 0.0000 0.0000 0.1318
Ba3 Ba 0.0000 0.0000 0.5195
Li1 Li 0.0000 0.0000 0.3177
Li2 Li 0.0000 0.0000 0.8239
Li3 Li 0.1700 0.3400 0.3984
Li4 Li 0.1718 0.3436 0.9086
Cd1 Cd 0.0000 0.0000 0.6354
```

ΔE_f: 0.005 eV/atom

***

Entry 6:
Ca2AcLa | PBE | relaxed

```
data_Ca2AcLa
_cell_length_a 3.8524
_cell_length_b 3.8524
_cell_length_c 38.3032
_cell_angle_alpha 90.00
_cell_angle_beta 90.00
_cell_angle_gamma 120.00
_symmetry_space_group_name_H-M 'R 3 m'
_symmetry_Int_Tables_number 160
_symmetry_space_group_name_Hall 'R 3 -2"'
loop_
_atom_site_label
_atom_site_type_symbol
_atom_site_fract_x
_atom_site_fract_y
_atom_site_fract_z
Ca1 Ca 0.0000 0.0000 0.0000
Ca2 Ca 0.0000 0.0000 0.1634
Ac1 Ac 0.0000 0.0000 0.5815
La1 La 0.0000 0.0000 0.4151
```

energy above the lowest structure with this stoichiometry: 0.0422 eV/atom
ΔE_f: 0.061 eV/atom

***

Entry 7:
FeTeIr2 | PBE | relaxed

```
data_FeTeIr2
_cell_length_a 2.9679
_cell_length_b 4.9316
_cell_length_c 9.1878
_cell_angle_alpha 90.00
_cell_angle_beta 90.00
_cell_angle_gamma 90.00
_symmetry_space_group_name_H-M 'C m m m'
_symmetry_Int_Tables_number 65
_symmetry_space_group_name_Hall '-C 2 2'
loop_
_atom_site_label
_atom_site_type_symbol
_atom_site_fract_x
_atom_site_fract_y
_atom_site_fract_z
Fe1 Fe 0.0000 0.0000 0.0000
Te1 Te 0.0000 0.0000 0.5000
Ir1 Ir 0.0000 0.5000 0.2204
```

E_form (uncorrected): 0.558 eV per atom

***

Entry 8:
Pa2ZnSi3Ni12 | PBE | relaxed

```
data_Pa2ZnSi3Ni12
_cell_length_a 8.3397
_cell_length_b 8.3397
_cell_length_c 12.0658
_cell_angle_alpha 90.00
_cell_angle_beta 90.00
_cell_angle_gamma 120.00
_symmetry_space_group_name_H-M 'R -3 m'
_symmetry_Int_Tables_number 166
_symmetry_space_group_name_Hall '-R 3 2"'
loop_
_atom_site_label
_atom_site_type_symbol
_atom_site_fract_x
_atom_site_fract_y
_atom_site_fract_z
Pa1 Pa 0.0000 0.0000 0.1619
Zn1 Zn 0.0000 0.0000 0.5000
Si1 Si 0.0000 0.5000 0.0000
Ni1 Ni 0.0035 0.5017 0.1948
Ni2 Ni 0.0126 0.5063 0.3929
```

E_form (uncorrected): -0.248 eV per atom

***

Entry 9:
Cs6Ga3I14 | PBE | relaxed

```
data_Cs6Ga3I14
_cell_length_a 14.0630
_cell_length_b 14.0630
_cell_length_c 7.2934
_cell_angle_alpha 90.00
_cell_angle_beta 90.00
_cell_angle_gamma 120.00
_symmetry_space_group_name_H-M 'P 3'
_symmetry_Int_Tables_number 143
_symmetry_space_group_name_Hall 'P 3'
loop_
_atom_site_label
_atom_site_type_symbol
_atom_site_fract_x
_atom_site_fract_y
_atom_site_fract_z
Cs1 Cs 0.0116 0.4518 0.0000
Cs2 Cs 0.3223 0.2167 0.4694
Ga1 Ga 0.0000 0.0000 0.0470
Ga2 Ga 0.3333 0.6667 0.5687
Ga3 Ga 0.6667 0.3333 0.7306
I1 I 0.0000 0.0000 0.6933
I2 I 0.0711 0.1977 0.1704
I3 I 0.2072 0.7387 0.6893
I4 I 0.3333 0.6667 0.2137
I5 I 0.4523 0.2605 0.9561
I6 I 0.5240 0.1186 0.5057
```

E_form (uncorrected): -1.034 eV per atom

***

Entry 10:
SrNd2Se | PBE | relaxed

```
data_SrNd2Se
_cell_length_a 4.0257
_cell_length_b 4.0257
_cell_length_c 32.3613
_cell_angle_alpha 90.00
_cell_angle_beta 90.00
_cell_angle_gamma 120.00
_symmetry_space_group_name_H-M 'R -3 m'
_symmetry_Int_Tables_number 166
_symmetry_space_group_name_Hall '-R 3 2"'
loop_
_atom_site_label
_atom_site_type_symbol
_atom_site_fract_x
_atom_site_fract_y
_atom_site_fract_z
Sr1 Sr 0.0000 0.0000 0.0000
Nd1 Nd 0.0000 0.0000 0.1127
Se1 Se 0.0000 0.0000 0.5000
```

E_form (uncorrected): -0.674 eV per atom

***

Entry 11:
Pr12YHo2 | PBE | relaxed

```
data_Pr12YHo2
_cell_length_a 7.2554
_cell_length_b 11.7395
_cell_length_c 25.2424
_cell_angle_alpha 90.00
_cell_angle_beta 90.00
_cell_angle_gamma 90.00
_symmetry_space_group_name_H-M 'C m m e'
_symmetry_Int_Tables_number 67
_symmetry_space_group_name_Hall '-C 2a 2'
loop_
_atom_site_label
_atom_site_type_symbol
_atom_site_fract_x
_atom_site_fract_y
_atom_site_fract_z
Pr1 Pr 0.0000 0.0022 0.0735
Pr2 Pr 0.0000 0.0245 0.5603
Pr3 Pr 0.2301 0.2500 0.4143
Pr4 Pr 0.2483 0.2500 0.8692
Pr5 Pr 0.2500 0.0000 0.1986
Pr6 Pr 0.2500 0.0000 0.3241
Y1 Y 0.0000 0.2500 0.9990
Ho1 Ho 0.0000 0.2500 0.2671
Ho2 Ho 0.0000 0.2500 0.7291
```

ΔE_f: 0.154 eV/atom

***

Entry 12:
KP2CO | PBE | relaxed

```
data_KP2CO
_cell_length_a 3.8525
_cell_length_b 3.8525
_cell_length_c 6.5296
_cell_angle_alpha 90.00
_cell_angle_beta 90.00
_cell_angle_gamma 90.00
_symmetry_space_group_name_H-M 'P 4/m m m'
_symmetry_Int_Tables_number 123
_symmetry_space_group_name_Hall '-P 4 2'
loop_
_atom_site_label
_atom_site_type_symbol
_atom_site_fract_x
_atom_site_fract_y
_atom_site_fract_z
K1 K 0.0000 0.0000 0.0000
P1 P 0.0000 0.5000 0.5000
C1 C 0.5000 0.5000 0.5000
O1 O 0.5000 0.5000 0.0000
```

energy above the lowest structure with this stoichiometry: 0.0000 eV/atom
E_form (uncorrected): 0.824 eV per atom

***

Entry 13:
NbGa | PBE | relaxed

```
data_NbGa
_cell_length_a 4.4912
_cell_length_b 4.4912
_cell_length_c 5.1814
_cell_angle_alpha 90.00
_cell_angle_beta 90.00
_cell_angle_gamma 120.00
_symmetry_space_group_name_H-M 'P 63/m m c'
_symmetry_Int_Tables_number 194
_symmetry_space_group_name_Hall '-P 6c 2c'
loop_
_atom_site_label
_atom_site_type_symbol
_atom_site_fract_x
_atom_site_fract_y
_atom_site_fract_z
Nb1 Nb 0.3333 0.6667 0.2500
Ga1 Ga 0.3333 0.6667 0.7500
```

ΔE_f: 0.567 eV/atom

***

Entry 14:
SmGd3Pd | PBE | relaxed

```
data_SmGd3Pd
_cell_length_a 5.5269
_cell_length_b 5.5269
_cell_length_c 5.5269
_cell_angle_alpha 90.00
_cell_angle_beta 90.00
_cell_angle_gamma 90.00
_symmetry_space_group_name_H-M 'P m -3 m'
_symmetry_Int_Tables_number 221
_symmetry_space_group_name_Hall '-P 4 2 3'
loop_
_atom_site_label
_atom_site_type_symbol
_atom_site_fract_x
_atom_site_fract_y
_atom_site_fract_z
Sm1 Sm 0.0000 0.0000 0.0000
Gd1 Gd 0.0000 0.5000 0.5000
Pd1 Pd 0.5000 0.5000 0.5000
```

ΔE_f: -0.130 eV/atom

***

Entry 15:
Tm5Cd2Bi | PBE | relaxed

```
data_Tm5Cd2Bi
_cell_length_a 8.2613
_cell_length_b 8.2613
_cell_length_c 12.9117
_cell_angle_alpha 90.00
_cell_angle_beta 90.00
_cell_angle_gamma 90.00
_symmetry_space_group_name_H-M 'I 4/m c m'
_symmetry_Int_Tables_number 140
_symmetry_space_group_name_Hall '-I 4 2c'
loop_
_atom_site_label
_atom_site_type_symbol
_atom_site_fract_x
_atom_site_fract_y
_atom_site_fract_z
Tm1 Tm 0.0000 0.0000 0.0000
Tm2 Tm 0.1521 0.3479 0.1491
Cd1 Cd 0.1401 0.3599 0.5000
Bi1 Bi 0.0000 0.0000 0.2500
```

ΔE_f: -0.342 eV/atom

***

Entry 16:
LaTi6 | PBE | relaxed

```
data_LaTi6
_cell_length_a 7.0117
_cell_length_b 7.0117
_cell_length_c 7.0117
_cell_angle_alpha 90.00
_cell_angle_beta 90.00
_cell_angle_gamma 90.00
_symmetry_space_group_name_H-M 'I m -3 m'
_symmetry_Int_Tables_number 229
_symmetry_space_group_name_Hall '-I 4 2 3'
loop_
_atom_site_label
_atom_site_type_symbol
_atom_site_fract_x
_atom_site_fract_y
_atom_site_fract_z
La1 La 0.0000 0.0000 0.0000
Ti1 Ti 0.0000 0.2500 0.5000
```

ΔE_f: 1.288 eV/atom

***

Entry 17:
HfMg2Cu | PBE | relaxed

```
data_HfMg2Cu
_cell_length_a 2.9652
_cell_length_b 2.9652
_cell_length_c 31.1916
_cell_angle_alpha 90.00
_cell_angle_beta 90.00
_cell_angle_gamma 120.00
_symmetry_space_group_name_H-M 'R -3 m'
_symmetry_Int_Tables_number 166
_symmetry_space_group_name_Hall '-R 3 2"'
loop_
_atom_site_label
_atom_site_type_symbol
_atom_site_fract_x
_atom_site_fract_y
_atom_site_fract_z
Hf1 Hf 0.0000 0.0000 0.0000
Mg1 Mg 0.0000 0.0000 0.0977
Cu1 Cu 0.0000 0.0000 0.5000
```

energy above the lowest structure with this stoichiometry: 0.2455 eV/atom
ΔE_f: 0.289 eV/atom

***

Entry 18:
RbMgGa2H8 | PBE | relaxed

```
data_RbMgGa2H8
_cell_length_a 5.3871
_cell_length_b 5.3871
_cell_length_c 22.0139
_cell_angle_alpha 90.00
_cell_angle_beta 90.00
_cell_angle_gamma 120.00
_symmetry_space_group_name_H-M 'R -3'
_symmetry_Int_Tables_number 148
_symmetry_space_group_name_Hall '-R 3'
loop_
_atom_site_label
_atom_site_type_symbol
_atom_site_fract_x
_atom_site_fract_y
_atom_site_fract_z
Rb1 Rb 0.0000 0.0000 0.0000
Mg1 Mg 0.0000 0.0000 0.5000
Ga1 Ga 0.0000 0.0000 0.2415
H1 H 0.0000 0.0000 0.3147
H2 H 0.0132 0.5887 0.8852
```

DFT total energy: -106.4 eV for the cell shown

***

Entry 19:
KCd4Br8 | PBE | relaxed

```
data_KCd4Br8
_cell_length_a 12.3452
_cell_length_b 12.3452
_cell_length_c 12.3452
_cell_angle_alpha 90.00
_cell_angle_beta 90.00
_cell_angle_gamma 90.00
_symmetry_space_group_name_H-M 'F -4 3 m'
_symmetry_Int_Tables_number 216
_symmetry_space_group_name_Hall 'F -4 2 3'
loop_
_atom_site_label
_atom_site_type_symbol
_atom_site_fract_x
_atom_site_fract_y
_atom_site_fract_z
K1 K 0.0000 0.0000 0.0000
Cd1 Cd 0.1203 0.1203 0.6203
Br1 Br 0.1123 0.1123 0.3877
Br2 Br 0.1445 0.1445 0.8555
```

energy above the lowest structure with this stoichiometry: 0.0216 eV/atom
E_form (uncorrected): -0.855 eV per atom

***

Entry 20:
Mg4Ag2Au | PBE | relaxed

```
data_Mg4Ag2Au
_cell_length_a 8.2642
_cell_length_b 8.2642
_cell_length_c 8.2798
_cell_angle_alpha 90.00
_cell_angle_beta 90.00
_cell_angle_gamma 90.00
_symmetry_space_group_name_H-M 'I -4 2 d'
_symmetry_Int_Tables_number 122
_symmetry_space_group_name_Hall 'I -4 2bw'
loop_
_atom_site_label
_atom_site_type_symbol
_atom_site_fract_x
_atom_site_fract_y
_atom_site_fract_z
Mg1 Mg 0.0762 0.1742 0.2930
Ag1 Ag 0.1182 0.2500 0.6250
Au1 Au 0.0000 0.0000 0.0000
```

energy above the lowest structure with this stoichiometry: 0.0564 eV/atom
ΔE_f: -0.221 eV/atom

***

| no. | theoretical density (g cm⁻³) | Fermi-level density of states (states/eV/f.u.) |
| --- | --- | --- |
| 1 | 8.0 | 8.67 |
| 2 | 5.0 | 2.94 |
| 3 | 14.9 | 7.52 |
| 4 | 4.1 | 1.62 |
| 5 | 2.7 | 10.42 |
| 6 | 4.5 | 6.55 |
| 7 | 14.0 | 2.88 |
| 8 | 9.0 | 9.36 |
| 9 | 3.7 | 6.94 |
| 10 | 5.0 | 4.31 |
| 11 | 6.5 | 21.94 |
| 12 | 2.2 | 4.15 |
| 13 | 6.0 | 1.04 |
| 14 | 7.2 | 9.79 |
| 15 | 9.6 | 4.20 |
| 16 | 4.1 | 11.46 |
| 17 | 6.1 | 1.62 |
| 18 | 2.3 | 1.25 |
| 19 | 4.0 | 3.24 |
| 20 | 6.0 | 2.55 |